Compound: Pm4PrNd
Source: Alexandria
Functional: PBE
Structure: optimized geometry

It has space group C2/m (No. 12), with a = 11.557 Å, b = 5.930 Å, c = 6.122 Å, α = 90.00°, β = 90.05° and γ = 90.00°. The distinct sites, in fractional coordinates, are Pm at (0.177, 0.000, 0.049), Pm at (0.177, 0.500, 0.450), Pr at (0.000, 0.000, 0.500) and Nd at (0.000, 0.500, 0.000).

As for the density of states at the Fermi level: 9.58 states/eV/f.u. The value obtained for the total moment is 0.0 μB per formula unit. As for the energy above the most stable polymorph in this dataset: 98 meV/atom.


Compound: Cd2CoMoPt
Source: Alexandria
Functional: PBE
Structure: optimized geometry

It has space group P4/mmm (No. 123), with a = 4.786 Å, b = 4.786 Å, c = 4.319 Å, α = 90.00°, β = 90.00° and γ = 90.00°. The distinct sites, in fractional coordinates, are Cd at (0.000, 0.500, 0.000), Co at (0.000, 0.000, 0.000), Mo at (0.000, 0.000, 0.500) and Pt at (0.500, 0.500, 0.500).

As for the density of states at the Fermi level: 3.69 states/eV/f.u. The value obtained for the total moment is 1.4 μB per formula unit. The value obtained for the total energy is -4.325 eV per atom.


Compound: BaScIr2
Source: Alexandria
Functional: PBE
Structure: optimized geometry

It has space group Pmm2 (No. 25), with a = 3.068 Å, b = 3.866 Å, c = 8.139 Å, α = 90.00°, β = 90.00° and γ = 90.00°. The distinct sites, in fractional coordinates, are Ba at (0.000, 0.000, 0.000), Sc at (0.500, 0.500, 0.596), Ir at (0.000, 0.000, 0.418) and Ir at (0.500, 0.500, 0.286).

As for the density of states at the Fermi level: 5.41 states/eV/f.u. The value obtained for the total moment is 0.3 μB per formula unit. As for the energy above the most stable polymorph in this dataset: 361 meV/atom.


Compound: CsAg6Sn8
Source: Alexandria
Functional: PBE
Structure: optimized geometry

It has space group R-3 (No. 148, hexagonal axes), with a = 9.1585 Å, b = 9.1585 Å, c = 16.1681 Å, α = 90.00°, β = 90.00° and γ = 120.00°. The distinct sites, in fractional coordinates, are Cs at (0.0000, 0.0000, 0.0000), Ag at (0.0046, 0.8113, 0.3689), Sn at (0.0000, 0.0000, 0.2253) and Sn at (0.0067, 0.6817, 0.5336).

As for the density of states at the Fermi level: 5.16 states/eV/f.u. The value obtained for the total moment is 0.0 μB per formula unit. The value obtained for the total energy is -3.298 eV per atom.


Compound: Co2Ni2Pb
Source: Alexandria
Functional: PBE
Structure: optimized geometry

It has space group P4/mbm (No. 127), with a = 6.956 Å, b = 6.956 Å, c = 2.900 Å, α = 90.00°, β = 90.00° and γ = 90.00°. The distinct sites, in fractional coordinates, are Co at (0.120, 0.380, 0.000), Ni at (0.165, 0.665, 0.500) and Pb at (0.000, 0.000, 0.000).

As for the density of states at the Fermi level: 10.32 states/eV/f.u. The value obtained for the total moment is 4.4 μB per formula unit. As for the energy above the most stable polymorph in this dataset: 0 meV/atom.


Compound: Y2AlFe2
Source: Alexandria
Functional: PBE
Structure: optimized geometry

It has space group P4/mbm (No. 127), with a = 6.830 Å, b = 6.830 Å, c = 4.196 Å, α = 90.00°, β = 90.00° and γ = 90.00°. The distinct sites, in fractional coordinates, are Y at (0.181, 0.319, 0.000), Al at (0.000, 0.000, 0.500) and Fe at (0.115, 0.615, 0.500).

As for the density of states at the Fermi level: 3.71 states/eV/f.u. The value obtained for the total moment is 3.0 μB per formula unit. The value obtained for the total energy is -6.859 eV per atom.


Compound: BeAu2SeI
Source: Alexandria
Functional: PBE
Structure: optimized geometry

It has space group P4/mmm (No. 123), with a = 5.363 Å, b = 5.363 Å, c = 4.120 Å, α = 90.00°, β = 90.00° and γ = 90.00°. The distinct sites, in fractional coordinates, are Be at (0.000, 0.000, 0.000), Au at (0.000, 0.500, 0.500), Se at (0.000, 0.000, 0.500) and I at (0.500, 0.500, 0.000).

As for the density of states at the Fermi level: 1.93 states/eV/f.u. The value obtained for the total moment is 0.0 μB per formula unit. The calculation puts the uncorrected formation energy at 0.46 eV/atom.


Compound: Rb2NiSe8
Source: Alexandria
Functional: PBE
Structure: optimized geometry

It has space group P-1 (No. 2), with a = 6.215 Å, b = 7.468 Å, c = 9.157 Å, α = 107.99°, β = 106.31° and γ = 97.61°. The distinct sites, in fractional coordinates, are Rb at (0.022, 0.040, 0.247), Ni at (0.500, 0.500, 0.000), Se at (0.020, 0.513, 0.877), Se at (0.427, 0.555, 0.241), Se at (0.448, 0.045, 0.618) and Se at (0.490, 0.233, 0.087).

As for the density of states at the Fermi level: 0.36 states/eV/f.u. The value obtained for the total moment is 0.0 μB per formula unit. The calculation puts the uncorrected formation energy at -0.34 eV/atom.


What did the sixth record say?
Compound: Y2AlFe2
Source: Alexandria
Functional: PBE
Structure: optimized geometry

It has space group P4/mbm (No. 127), with a = 6.830 Å, b = 6.830 Å, c = 4.196 Å, α = 90.00°, β = 90.00° and γ = 90.00°. The distinct sites, in fractional coordinates, are Y at (0.181, 0.319, 0.000), Al at (0.000, 0.000, 0.500) and Fe at (0.115, 0.615, 0.500).

As for the density of states at the Fermi level: 3.71 states/eV/f.u. The value obtained for the total moment is 3.0 μB per formula unit. The value obtained for the total energy is -6.859 eV per atom.


Q: Among the records above, which one has the highest density of states at the Fermi level?
A: Co2Ni2Pb


Repeat the fifth record exactly.
Compound: Co2Ni2Pb
Source: Alexandria
Functional: PBE
Structure: optimized geometry

It has space group P4/mbm (No. 127), with a = 6.956 Å, b = 6.956 Å, c = 2.900 Å, α = 90.00°, β = 90.00° and γ = 90.00°. The distinct sites, in fractional coordinates, are Co at (0.120, 0.380, 0.000), Ni at (0.165, 0.665, 0.500) and Pb at (0.000, 0.000, 0.000).

As for the density of states at the Fermi level: 10.32 states/eV/f.u. The value obtained for the total moment is 4.4 μB per formula unit. As for the energy above the most stable polymorph in this dataset: 0 meV/atom.